[1]
Compound: EuTmLuAl
Source: the Alexandria database
Functional: PBE
Structure: optimized geometry

a b c (Å): 5.337 5.337 5.337
angles (deg): 60.00 60.00 60.00
Fractional positions:
Eu 0.000 0.000 0.000
Tm 0.750 0.750 0.750
Lu 0.250 0.250 0.250
Al 0.500 0.500 0.500

V = 107.47 Å³ per cell
Formation energy = 1 meV/atom
Total energy = -0.423 Ry/atom
Crystal system = cubic
Symmetry = No. 216

---

[2]
Compound: EuMg4Al
Source: the Alexandria database
Functional: PBE
Structure: optimized geometry

a b c (Å): 5.992 5.992 5.992
angles (deg): 60.00 60.00 60.00
Fractional positions:
Eu 0.000 0.000 0.000
Mg 0.127 0.624 0.624
Mg 0.624 0.127 0.624
Mg 0.624 0.624 0.127
Mg 0.624 0.624 0.624
Al 0.250 0.250 0.250

V = 152.16 Å³ per cell
Formation energy = 67 meV/atom
Total energy = -0.245 Ry/atom
Crystal system = cubic
Symmetry = No. 216

---

[3]
Compound: NaEuMgAl
Source: the Alexandria database
Functional: PBE
Structure: optimized geometry

a b c (Å): 5.250 5.250 5.250
angles (deg): 60.00 60.00 60.00
Fractional positions:
Na 0.000 0.000 0.000
Eu 0.750 0.750 0.750
Mg 0.250 0.250 0.250
Al 0.500 0.500 0.500

V = 102.34 Å³ per cell
Formation energy = -48 meV/atom
Total energy = -0.315 Ry/atom
Crystal system = cubic
Symmetry = No. 216